[1]
DFT (PBE-GGA) results for a geometry-optimized BaCa2Os structure.

Computed properties:
uncorrected energy = -3.71 eV per atom
excess energy over the best structure of this formula in the dataset = 0.180 eV/atom
symmetry = No. 139

a b c (Å): 5.6072 5.6072 5.6072
angles (deg): 126.26 126.26 79.46
Atoms (fractional coordinates):
Ca1 0.0000 0.0000 0.0000
Ca2 0.5000 0.5000 0.0000
Os1 0.2500 0.7500 0.5000
Ba1 0.7500 0.2500 0.5000

[2]
DFT (PBE-GGA) results for a geometry-optimized BaFeOs2 structure.

Computed properties:
uncorrected energy = -7.46 eV per atom
excess energy over the best structure of this formula in the dataset = 0.413 eV/atom
symmetry = No. 99

a b c (Å): 3.1939 3.1939 7.7915
angles (deg): 90.00 90.00 90.00
Each line ends with the local moment (μB).
Atoms (fractional coordinates):
Ba1 0.0000 0.0000 0.5004  -0.06
Fe1 0.5000 0.5000 0.8394  2.56
Os1 0.0000 0.0000 0.9932  0.17
Os2 0.5000 0.5000 0.1669  0.03

[3]
DFT (PBE-GGA) results for a geometry-optimized Pa2AgRh structure.

Computed properties:
uncorrected energy = -7.44 eV per atom
symmetry = No. 123

a b c (Å): 3.5961 3.5961 6.8297
angles (deg): 90.00 90.00 90.00
Atoms (fractional coordinates):
Pa1 0.0000 0.0000 0.7871
Pa2 0.0000 0.0000 0.2129
Rh1 0.5000 0.5000 0.0000
Ag1 0.5000 0.5000 0.5000

[4]
DFT (PBE-GGA) results for a geometry-optimized ZnCd2Te3 structure.

Computed properties:
uncorrected energy = -2.55 eV per atom
symmetry = No. 9

a b c (Å): 7.9256 7.9256 7.8955
angles (deg): 99.49 99.49 120.10
Atoms (fractional coordinates):
Zn1 0.0917 0.9312 0.5065
Zn2 0.9312 0.0917 0.0065
Cd1 0.5950 0.4272 0.0076
Cd2 0.7669 0.2587 0.5077
Cd3 0.4272 0.5950 0.5076
Cd4 0.2587 0.7669 0.0077
Te1 0.0527 0.2024 0.3689
Te2 0.2024 0.0527 0.8689
Te3 0.8911 0.3723 0.8900
Te4 0.3723 0.8911 0.3900
Te5 0.5683 0.7374 0.8906
Te6 0.7374 0.5683 0.3906

[5]
DFT (PBE-GGA) results for a geometry-optimized Be2SbF structure.

Computed properties:
uncorrected energy = -3.91 eV per atom
excess energy over the best structure of this formula in the dataset = 0.000 eV/atom
symmetry = No. 122

a b c (Å): 4.6056 4.6056 6.3437
angles (deg): 68.71 68.71 90.00
Atoms (fractional coordinates):
Sb1 0.0000 0.0000 0.0000
Sb2 0.7500 0.2500 0.5000
Be1 0.5041 0.1250 0.2500
Be2 0.2459 0.6250 0.2500
Be3 0.3750 0.4959 0.7500
Be4 0.8750 0.7541 0.7500
F1 0.5000 0.5000 0.0000
F2 0.2500 0.7500 0.5000

[6]
DFT (PBE-GGA) results for a geometry-optimized BeAlSCl2 structure.

Computed properties:
uncorrected energy = -3.41 eV per atom
excess energy over the best structure of this formula in the dataset = 0.000 eV/atom
symmetry = No. 123

a b c (Å): 4.2244 4.2244 5.1300
angles (deg): 90.00 90.00 90.00
Atoms (fractional coordinates):
Be1 0.0000 0.0000 0.0000
S1 0.0000 0.0000 0.5000
Al1 0.5000 0.5000 0.5000
Cl1 0.0000 0.5000 0.0000
Cl2 0.5000 0.0000 0.0000

- The lowest uncorrected energy belongs to which entry?
  BaFeOs2